DFT (PBE-GGA) results for a geometry-optimized Mn2NbCu structure.

The structure belongs to space group P4/mmm (No. 123); the cell edges are 3.9833, 3.9833 and 3.4172 Å and the angles 90.00°, 90.00° and 90.00°. Symmetry generates all atoms from Mn at (0.0000, 0.5000, 0.0000), Nb at (0.0000, 0.0000, 0.5000) and Cu at (0.5000, 0.5000, 0.5000).

Its relative energy among the computed polymorphs is 0 meV per atom. As for the energy relative to the elements: 69 meV per atom. The total magnetization is 3.78 μB per formula unit.

=====

DFT (PBE-GGA) results for a geometry-optimized LaGdTe2 structure.

The structure belongs to space group R-3m (No. 166, hexagonal axes); the cell edges are 4.4920, 4.4920 and 22.0688 Å and the angles 90.00°, 90.00° and 120.00°. Symmetry generates all atoms from La at (0.0000, 0.0000, 0.0000), Gd at (0.0000, 0.0000, 0.5000) and Te at (0.0000, 0.0000, 0.2457).

Its relative energy among the computed polymorphs is 0 meV per atom. The total magnetization is 6.85 μB per formula unit. As for the formation energy (no corrections): -1508 meV/atom.

=====

DFT (PBE-GGA) results for a geometry-optimized La4Er5Mg structure.

The structure belongs to space group C2/m (No. 12); the cell edges are 17.9947, 5.1165 and 8.5560 Å and the angles 90.00°, 116.55° and 90.00°. Symmetry generates all atoms from La at (0.0176, 0.0000, 0.2717), La at (0.1771, 0.5000, 0.4287), Er at (0.0000, 0.5000, 0.0000), Er at (0.1692, 0.0000, 0.7148), Er at (0.1738, 0.0000, 0.1286) and Mg at (0.0000, 0.5000, 0.5000).

As for the energy relative to the elements: 272 meV per atom. The total magnetization is 0.00 μB per formula unit.

=====

DFT (PBE-GGA) results for a geometry-optimized K2ThH2O4 structure.

The structure belongs to space group C2/m (No. 12); the cell edges are 12.3796, 3.5824 and 6.6341 Å and the angles 90.00°, 108.41° and 90.00°. Symmetry generates all atoms from K at (0.1412, 0.0000, 0.0721), Th at (0.0000, 0.0000, 0.5000), H at (0.2447, 0.5000, 0.3825), O at (0.0213, 0.5000, 0.2947) and O at (0.2025, 0.0000, 0.7001).

The total magnetization is 0.00 μB per formula unit. The total DFT energy (no corrections) comes out at -54.7 eV per formula unit.